Entry 1:
## Pm2ErTl4 (GGA-PBE)

Data for Pm2ErTl4 after structural relaxation.

Summary:
Its energy relative to the lowest polymorph listed for this composition is 5 meV per atom. The space-group type is I4/mmm.

Cell: 5.3078 5.3078 8.4303 Å, 108.35 108.35 90.00°
Last column: nearest neighbours and their distance in Å.
Fractional positions:
Pm1 0.7493 0.7493 0.4985  8 Tl 3.37-3.38, 4 Pm 3.75
Pm2 0.2507 0.2507 0.5015  8 Tl 3.37-3.38, 4 Pm 3.75
Er1 0.0000 0.0000 0.0000  8 Tl 3.15
Tl1 0.3882 0.8882 0.7764  2 Er 3.15, 4 Pm 3.37-3.38, 1 Tl 3.38
Tl2 0.8882 0.3882 0.7764  2 Er 3.15, 4 Pm 3.37-3.38, 1 Tl 3.38
Tl3 0.6118 0.1118 0.2236  2 Er 3.15, 4 Pm 3.37-3.38, 1 Tl 3.38
Tl4 0.1118 0.6118 0.2236  2 Er 3.15, 4 Pm 3.37-3.38, 1 Tl 3.38

---

Entry 2:
## Pm4ErTl (GGA-PBE)

Data for Pm4ErTl after structural relaxation.

Summary:
Its energy relative to the lowest polymorph listed for this composition is 25 meV per atom. The space-group type is C2/c.

Cell: 6.5662 9.1213 8.4340 Å, 112.80 100.16 113.19°
Last column: nearest neighbours and their distance in Å.
Fractional positions:
Pm1 0.0449 0.1669 0.7596  2 Tl 3.36-3.41, 4 Pm 3.37-3.74, 2 Er 3.50-3.58
Pm2 0.7572 0.7130 0.6195  2 Tl 3.28-3.29, 5 Pm 3.37-3.67, 1 Er 3.65
Pm3 0.2147 0.5927 0.7596  2 Tl 3.36-3.41, 4 Pm 3.37-3.74, 2 Er 3.50-3.58
Pm4 0.3623 0.9065 0.6195  2 Tl 3.28-3.29, 5 Pm 3.37-3.67, 1 Er 3.65
Pm5 0.6377 0.0935 0.3805  2 Tl 3.28-3.29, 5 Pm 3.37-3.67, 1 Er 3.65
Pm6 0.7853 0.4073 0.2404  2 Tl 3.36-3.41, 4 Pm 3.37-3.74, 2 Er 3.50-3.58
Pm7 0.2428 0.2870 0.3805  2 Tl 3.28-3.29, 5 Pm 3.37-3.67, 1 Er 3.65
Pm8 0.9551 0.8331 0.2404  2 Tl 3.36-3.41, 4 Pm 3.37-3.74, 2 Er 3.50-3.58
Er1 0.3394 0.5894 0.1789  8 Pm 3.50-3.68
Er2 0.6606 0.4106 0.8211  8 Pm 3.50-3.68
Tl1 0.2504 0.0004 0.0008  8 Pm 3.28-3.41, 2 Tl 3.28
Tl2 0.7496 0.9996 0.9992  8 Pm 3.28-3.41, 2 Tl 3.28

---

Entry 3:
## PmEr9Tl2 (GGA-PBE)

Data for PmEr9Tl2 after structural relaxation.

Summary:
The space-group type is P4/mmm. The calculated total energy is -51.73 eV per cell.

Cell: 4.8408 4.8408 14.9243 Å, 90.00 90.00 90.00°
Last column: nearest neighbours and their distance in Å.
Fractional positions:
Pm1 0.0000 0.0000 0.0000  12 Er 3.42-3.54
Er1 0.5000 0.5000 0.0000  4 Pm 3.42, 8 Er 3.54
Er2 0.5000 0.5000 0.3385  8 Er 3.42-3.45, 4 Tl 3.42
Er3 0.5000 0.5000 0.6615  8 Er 3.42-3.45, 4 Tl 3.42
Er4 0.5000 0.0000 0.1733  8 Er 3.42-3.54, 2 Tl 3.47, 2 Pm 3.54
Er5 0.5000 0.0000 0.5000  4 Tl 3.40, 8 Er 3.42
Er6 0.5000 0.0000 0.8267  8 Er 3.42-3.54, 2 Tl 3.47, 2 Pm 3.54
Er7 0.0000 0.5000 0.1733  8 Er 3.42-3.54, 2 Tl 3.47, 2 Pm 3.54
Er8 0.0000 0.5000 0.5000  4 Tl 3.40, 8 Er 3.42
Er9 0.0000 0.5000 0.8267  8 Er 3.42-3.54, 2 Tl 3.47, 2 Pm 3.54
Tl1 0.0000 0.0000 0.3396  12 Er 3.40-3.47
Tl2 0.0000 0.0000 0.6604  12 Er 3.40-3.47

---

Entry 4:
## Pm3Er2Tl (GGA-PBE)

Data for Pm3Er2Tl after structural relaxation.

Summary:
Its energy relative to the lowest polymorph listed for this composition is 0 meV per atom. The space-group type is Cmmm.

Cell: 4.8959 4.9674 8.0092 Å, 108.07 90.00 90.00°
Last column: nearest neighbours and their distance in Å.
Fractional positions:
Pm1 0.5000 0.1702 0.3403  4 Pm 3.48-3.59, 6 Er 3.49-3.52, 2 Tl 3.56
Pm2 0.5000 0.5000 0.0000  4 Tl 3.49, 4 Er 3.49, 4 Pm 3.59
Pm3 0.5000 0.8298 0.6597  4 Pm 3.48-3.59, 6 Er 3.49-3.52, 2 Tl 3.56
Er1 0.0000 0.6636 0.3271  8 Pm 3.49-3.52, 2 Tl 3.52, 2 Er 3.62
Er2 0.0000 0.3364 0.6729  8 Pm 3.49-3.52, 2 Tl 3.52, 2 Er 3.62
Tl1 0.0000 0.0000 0.0000  8 Pm 3.49-3.56, 4 Er 3.52

---

Entry 5:
## Pm6ErTl6 (GGA-PBE)

Data for Pm6ErTl6 after structural relaxation.

Summary:
The space-group type is P6/mmm. The calculated total energy is -49.89 eV per cell.

Cell: 6.5217 6.5217 10.8614 Å, 90.00 90.00 120.00°
Last column: nearest neighbours and their distance in Å.
Fractional positions:
Pm1 0.0000 0.0000 0.6691  6 Tl 3.39, 1 Er 3.59, 1 Pm 3.67
Pm2 0.0000 0.0000 0.3309  6 Tl 3.39, 1 Er 3.59, 1 Pm 3.67
Pm3 0.3333 0.6667 0.0000  6 Tl 3.28
Pm4 0.6667 0.3333 0.0000  6 Tl 3.28
Pm5 0.3334 0.6666 0.5000  6 Tl 3.33
Pm6 0.6666 0.3334 0.5000  6 Tl 3.33
Er1 0.0000 0.0000 0.0000  8 Pm 3.59-3.77
Tl1 0.0000 0.5000 0.7530  4 Tl 3.26, 6 Pm 3.28-3.39
Tl2 0.5000 0.0000 0.7530  4 Tl 3.26, 6 Pm 3.28-3.39
Tl3 0.5000 0.5000 0.7530  4 Tl 3.26, 6 Pm 3.28-3.39
Tl4 0.5000 0.0000 0.2470  4 Tl 3.26, 6 Pm 3.28-3.39
Tl5 0.0000 0.5000 0.2470  4 Tl 3.26, 6 Pm 3.28-3.39
Tl6 0.5000 0.5000 0.2470  4 Tl 3.26, 6 Pm 3.28-3.39

---

Entry 6:
## Pm2ErTl (GGA-PBE)

Data for Pm2ErTl after structural relaxation.

Summary:
Its energy relative to the lowest polymorph listed for this composition is 93 meV per atom. The space-group type is R3m.

Cell: 3.6729 3.6729 11.1877 Å, 80.55 80.55 60.00°
Last column: nearest neighbours and their distance in Å.
Fractional positions:
Pm1 0.0800 0.0800 0.7600  3 Tl 3.39, 3 Er 3.56, 6 Pm 3.67
Pm2 0.2534 0.2534 0.2397  3 Tl 3.38, 3 Er 3.56, 6 Pm 3.67
Er1 0.5001 0.5001 0.4997  6 Pm 3.56, 6 Er 3.67
Tl1 0.6665 0.6665 0.0006  6 Pm 3.38-3.39, 6 Tl 3.67

---

Entry 7:
## Pm3Er3Tl2 (GGA-PBE)

Data for Pm3Er3Tl2 after structural relaxation.

Summary:
Its energy relative to the lowest polymorph listed for this composition is 0 meV per atom. The space-group type is Pmmm.

Cell: 4.8516 4.8735 9.8877 Å, 90.00 90.00 90.00°
Last column: nearest neighbours and their distance in Å.
Fractional positions:
Pm1 0.5000 0.0000 0.5000  4 Pm 3.44, 4 Er 3.49, 4 Tl 3.49
Pm2 0.0000 0.5000 0.0000  8 Er 3.44-3.45, 4 Tl 3.45
Pm3 0.0000 0.5000 0.5000  4 Pm 3.44, 4 Er 3.48, 4 Tl 3.50
Er1 0.5000 0.5000 0.7520  4 Tl 3.44, 6 Pm 3.45-3.49, 2 Er 3.46
Er2 0.5000 0.5000 0.2480  4 Tl 3.44, 6 Pm 3.45-3.49, 2 Er 3.46
Er3 0.5000 0.0000 0.0000  4 Pm 3.44, 4 Tl 3.44, 4 Er 3.46
Tl1 0.0000 0.0000 0.7535  6 Er 3.44, 6 Pm 3.45-3.50
Tl2 0.0000 0.0000 0.2465  6 Er 3.44, 6 Pm 3.45-3.50

---

Entry 8:
## PmEr5Tl8 (GGA-PBE)

Data for PmEr5Tl8 after structural relaxation.

Summary:
The space-group type is I-4. The calculated total energy is -49.54 eV per cell.

Cell: 8.0209 8.0209 8.0209 Å, 110.19 108.05 110.19°
Last column: nearest neighbours and their distance in Å.
Fractional positions:
Pm1 0.2500 0.5000 0.7500  8 Tl 3.21-3.38
Er1 0.0230 0.3617 0.1223  8 Tl 3.14-3.29
Er2 0.8777 0.9007 0.2394  8 Tl 3.14-3.29
Er3 0.7606 0.6383 0.6613  8 Tl 3.14-3.29
Er4 0.5000 0.0000 0.5000  8 Tl 3.19-3.22
Er5 0.3387 0.0993 0.9770  8 Tl 3.14-3.29
Tl1 0.1223 0.7414 0.0517  5 Er 3.14-3.19, 1 Pm 3.21, 2 Tl 3.37-3.48
Tl2 0.9483 0.0707 0.6898  5 Er 3.14-3.19, 1 Pm 3.21, 2 Tl 3.37-3.48
Tl3 0.7739 0.2624 0.3629  5 Er 3.20-3.29, 2 Tl 3.29-3.37, 1 Pm 3.38
Tl4 0.6371 0.4110 0.8995  5 Er 3.20-3.29, 2 Tl 3.29-3.37, 1 Pm 3.38
Tl5 0.4885 0.5890 0.2261  5 Er 3.20-3.29, 2 Tl 3.29-3.37, 1 Pm 3.38
Tl6 0.6191 0.9293 0.8777  5 Er 3.14-3.19, 1 Pm 3.21, 2 Tl 3.37-3.48
Tl7 0.3102 0.2586 0.3809  5 Er 3.14-3.19, 1 Pm 3.21, 2 Tl 3.37-3.48
Tl8 0.1005 0.7376 0.5115  5 Er 3.20-3.29, 2 Tl 3.29-3.37, 1 Pm 3.38

---

Entry 9:
## Pm5Er2Tl (GGA-PBE)

Data for Pm5Er2Tl after structural relaxation.

Summary:
The space-group type is C2/m. The calculated total energy is -35.27 eV per cell.

Cell: 3.4768 11.3123 8.8010 Å, 129.99 101.46 90.00°
Last column: nearest neighbours and their distance in Å.
Fractional positions:
Pm1 0.0000 0.5000 0.0000  10 Pm 3.48-3.59, 2 Er 3.51
Pm2 0.6314 0.3982 0.2627  3 Er 3.28-3.64, 7 Pm 3.42-3.59
Pm3 0.3686 0.6018 0.7373  3 Er 3.28-3.64, 7 Pm 3.42-3.59
Pm4 0.6314 0.8645 0.2627  3 Er 3.28-3.64, 7 Pm 3.42-3.59
Pm5 0.3686 0.1355 0.7373  3 Er 3.28-3.64, 7 Pm 3.42-3.59
Er1 0.2698 0.7694 0.5388  7 Pm 3.28-3.64, 2 Tl 3.47, 2 Er 3.48
Er2 0.7302 0.2306 0.4612  7 Pm 3.28-3.64, 2 Tl 3.47, 2 Er 3.48
Tl1 0.0000 0.0000 0.0000  4 Er 3.47, 2 Tl 3.48, 8 Pm 3.88

---

Entry 10:
## Pm2ErTl2 (GGA-PBE)

Data for Pm2ErTl2 after structural relaxation.

Summary:
Its energy relative to the lowest polymorph listed for this composition is 75 meV per atom. The space-group type is Cmc2_1.

Cell: 5.1652 6.6214 9.0781 Å, 90.00 106.53 90.00°
Last column: nearest neighbours and their distance in Å.
Fractional positions:
Pm1 0.9871 0.8008 0.9743  5 Tl 3.25-3.56, 2 Pm 3.34, 2 Er 3.56
Pm2 0.8009 0.3552 0.6018  6 Tl 3.14-3.48
Pm3 0.1991 0.8552 0.3982  6 Tl 3.14-3.48
Pm4 0.0129 0.3008 0.0257  5 Tl 3.25-3.56, 2 Pm 3.34, 2 Er 3.56
Er1 0.3916 0.0713 0.7831  5 Tl 3.22-3.44, 4 Pm 3.56
Er2 0.6084 0.5713 0.2169  5 Tl 3.22-3.44, 4 Pm 3.56
Tl1 0.4108 0.5550 0.8216  3 Er 3.22-3.44, 6 Pm 3.33-3.56
Tl2 0.8012 0.8520 0.6024  5 Pm 3.14-3.33, 2 Er 3.35
Tl3 0.1988 0.3520 0.3976  5 Pm 3.14-3.33, 2 Er 3.35
Tl4 0.5892 0.0550 0.1784  3 Er 3.22-3.44, 6 Pm 3.33-3.56

---

Entry 11:
## Pm8Er3Tl (GGA-PBE)

Data for Pm8Er3Tl after structural relaxation.

Summary:
The space-group type is Cm. The calculated total energy is -54.54 eV per cell.

Cell: 8.4910 8.4902 8.4865 Å, 95.55 136.69 100.09°
Last column: nearest neighbours and their distance in Å.
Fractional positions:
Pm1 0.5276 0.1633 0.3640  2 Tl 3.42-3.80, 6 Pm 3.44-3.69, 3 Er 3.49-3.69
Pm2 0.4786 0.6606 0.8178  6 Pm 3.44-3.65, 4 Er 3.53-3.61, 1 Tl 3.69
Pm3 0.2003 0.8376 0.3631  2 Tl 3.41-3.78, 6 Pm 3.44-3.70, 3 Er 3.49-3.68
Pm4 0.1586 0.3397 0.8185  6 Pm 3.44-3.65, 4 Er 3.52-3.61, 1 Tl 3.72
Pm5 0.1530 0.3924 0.2288  1 Tl 3.35, 7 Pm 3.46-3.73, 4 Er 3.53-3.73
Pm6 0.8351 0.0757 0.2287  1 Tl 3.35, 7 Pm 3.46-3.73, 4 Er 3.53-3.72
Pm7 0.8354 0.6068 0.7596  1 Tl 3.35, 7 Pm 3.46-3.73, 4 Er 3.53-3.73
Pm8 0.1525 0.9242 0.7603  1 Tl 3.35, 7 Pm 3.46-3.73, 4 Er 3.53-3.73
Er1 0.5044 0.7481 0.2527  1 Er 3.46, 10 Pm 3.49-3.73, 1 Tl 3.52
Er2 0.5043 0.2519 0.7561  1 Er 3.46, 10 Pm 3.49-3.73, 1 Tl 3.52
Er3 0.8222 0.5005 0.3216  2 Er 3.46, 10 Pm 3.57-3.69
Tl1 0.8281 0.9994 0.8290  8 Pm 3.35-3.72, 2 Er 3.52

---

Entry 12:
## Pm2Er3Tl (GGA-PBE)

Data for Pm2Er3Tl after structural relaxation.

Summary:
Its energy relative to the lowest polymorph listed for this composition is 0 meV per atom. The space-group type is Cmmm.

Cell: 4.9119 4.8600 7.9817 Å, 107.72 90.00 90.00°
Last column: nearest neighbours and their distance in Å.
Fractional positions:
Pm1 0.0000 0.6622 0.3243  8 Er 3.46-3.58, 2 Tl 3.46, 2 Pm 3.61
Pm2 0.0000 0.3378 0.6757  8 Er 3.46-3.58, 2 Tl 3.46, 2 Pm 3.61
Er1 0.5000 0.1662 0.3325  6 Pm 3.46-3.58, 4 Er 3.51-3.52, 2 Tl 3.52
Er2 0.5000 0.5000 0.0000  4 Tl 3.45, 4 Pm 3.48, 4 Er 3.51
Er3 0.5000 0.8338 0.6675  6 Pm 3.46-3.58, 4 Er 3.51-3.52, 2 Tl 3.52
Tl1 0.0000 0.0000 0.0000  8 Er 3.45-3.52, 4 Pm 3.46

---

Going through the records in order, we get calculated volume values of 213, 197, 350, 185, 400, 128, 234, 397, 256, 149, 390, 181 Å³/f.u..